# 1
A plane-wave DFT calculation with PBE-GGA was carried out for crystalline KMg2BeV at its relaxed geometry.

Cell: 5.6839 5.6839 5.2836 Å, 90.00 90.00 90.00°
Closest atoms and distances in Å follow each position.
Atoms (fractional coordinates):
1 K 0.0000 0.0000 0.0000  2 V 2.64, 4 Mg 2.84
2 Mg 0.0000 0.5000 0.0000  2 K 2.84
3 Mg 0.5000 0.0000 0.0000  2 K 2.84
4 Be 0.5000 0.5000 0.5000  8 Mg 3.88, 4 V 4.02
5 V 0.0000 0.0000 0.5000  2 K 2.64

## Properties
symmetry = No. 123
DFT formation energy = 2.09 eV per atom
E = -1.3354 eV/atom

# 2
A plane-wave DFT calculation with PBE-GGA was carried out for crystalline HfGa2Pd at its relaxed geometry.

Cell: 5.0635 5.0635 5.0635 Å, 49.39 49.39 49.39°
Closest atoms and distances in Å follow each position.
Atoms (fractional coordinates):
1 Hf 0.0000 0.0000 0.0000  8 Ga 2.82-3.03
2 Ga 0.2279 0.2279 0.2279  3 Pd 2.58, 3 Hf 2.82
3 Ga 0.7721 0.7721 0.7721  3 Pd 2.58, 3 Hf 2.82
4 Pd 0.5000 0.5000 0.5000  6 Ga 2.58

## Properties
symmetry = No. 166
DFT formation energy = -0.47 eV per atom
E = -5.7684 eV/atom

# 3
A plane-wave DFT calculation with PBE-GGA was carried out for crystalline BaZr2Si2 at its relaxed geometry.

Cell: 8.4642 8.4642 3.0645 Å, 90.00 90.00 90.00°
Closest atoms and distances in Å follow each position.
Atoms (fractional coordinates):
1 Ba 0.0000 0.0000 0.0000  2 Ba 3.06, 4 Zr 3.34
2 Ba 0.5000 0.5000 0.0000  2 Ba 3.06, 4 Zr 3.34
3 Zr 0.1254 0.3746 0.0000  6 Si 2.92-2.94, 3 Zr 3.00-3.06
4 Zr 0.3746 0.8746 0.0000  6 Si 2.92-2.94, 3 Zr 3.00-3.06
5 Zr 0.6254 0.1254 0.0000  6 Si 2.92-2.94, 3 Zr 3.00-3.06
6 Zr 0.8746 0.6254 0.0000  6 Si 2.92-2.94, 3 Zr 3.00-3.06
7 Si 0.1655 0.6655 0.5000  6 Zr 2.92-2.94, 2 Si 3.06
8 Si 0.3345 0.1655 0.5000  6 Zr 2.92-2.94, 2 Si 3.06
9 Si 0.6655 0.8345 0.5000  6 Zr 2.92-2.94, 2 Si 3.06
10 Si 0.8345 0.3345 0.5000  6 Zr 2.92-2.94, 2 Si 3.06

## Properties
energy relative to the elements, uncorrected = -0.274 eV/atom
symmetry = No. 127
E = -6.2473 eV/atom
excess energy over the best structure of this formula in the dataset = 0.0 kJ per mole of atoms

# 4
A plane-wave DFT calculation with PBE-GGA was carried out for crystalline Pm6Pr2Hg at its relaxed geometry.

Cell: 9.6338 9.6338 3.7780 Å, 90.00 90.00 120.00°
Closest atoms and distances in Å follow each position.
Atoms (fractional coordinates):
1 Pm 0.0000 0.2662 0.0000  2 Hg 3.18
2 Pm 0.0000 0.6190 0.5000  4 Pr 3.55, 1 Hg 3.67, 8 Pm 3.77-3.89
3 Pm 0.2662 0.0000 0.0000  2 Hg 3.18
4 Pm 0.3810 0.3810 0.5000  4 Pr 3.55, 1 Hg 3.67, 8 Pm 3.77-3.89
5 Pm 0.6190 0.0000 0.5000  4 Pr 3.55, 1 Hg 3.67, 8 Pm 3.77-3.89
6 Pm 0.7338 0.7338 0.0000  2 Hg 3.18
7 Pr 0.3333 0.6667 0.0000  9 Pm 3.55-3.58, 2 Pr 3.78
8 Pr 0.6667 0.3333 0.0000  9 Pm 3.55-3.58, 2 Pr 3.78
9 Hg 0.0000 0.0000 0.5000  6 Pm 3.18

## Properties
symmetry = No. 189
DFT formation energy = -0.09 eV per atom
E = -4.3571 eV/atom
excess energy over the best structure of this formula in the dataset = 0.0 kJ per mole of atoms

# 5
A plane-wave DFT calculation with PBE-GGA was carried out for crystalline Sm2ScZn3Pt4 at its relaxed geometry.

Cell: 4.0967 4.0967 11.6098 Å, 90.00 90.00 90.00°
Closest atoms and distances in Å follow each position.
Atoms (fractional coordinates):
1 Sm 0.0000 0.5000 0.2323  4 Zn 3.13, 8 Pt 3.20-3.39
2 Sm 0.5000 0.0000 0.7677  4 Zn 3.13, 8 Pt 3.20-3.39
3 Sc 0.0000 0.0000 0.5000  4 Pt 2.70, 4 Zn 2.90
4 Zn 0.0000 0.5000 0.8689  5 Pt 2.52-2.55
5 Zn 0.5000 0.0000 0.1311  5 Pt 2.52-2.55
6 Zn 0.5000 0.5000 0.5000  4 Pt 2.70, 4 Sc 2.90
7 Pt 0.0000 0.0000 0.0000  4 Zn 2.55
8 Pt 0.0000 0.5000 0.6515  3 Zn 2.52-2.70, 2 Sc 2.70
9 Pt 0.5000 0.0000 0.3485  3 Zn 2.52-2.70, 2 Sc 2.70
10 Pt 0.5000 0.5000 0.0000  4 Zn 2.55

## Properties
symmetry = No. 115
DFT formation energy = -0.86 eV per atom
E = -5.2329 eV/atom